# 1
The following is a DFT calculation (GGA-PBE) of a relaxed KCaCdBi crystal.

energy of formation from the pure elements: -0.411 eV per atom
DFT total energy: -9.54 eV/f.u.
magnetic moment: 0.00 μB per formula unit
DOS(E_F): 0.00 states/eV/atom

a = 8.0744 Å, b = 8.0744 Å, c = 8.0744 Å
α = 90.00°, β = 90.00°, γ = 90.00°
Space group F-43m (No. 216)
Asymmetric unit:
1 K 0.0000 0.0000 0.0000 [4 per cell]
2 Ca 0.0000 0.0000 0.5000 [4 per cell]
3 Cd 0.2500 0.2500 0.2500 [4 per cell]
4 Bi 0.2500 0.2500 0.7500 [4 per cell]



# 2
The following is a DFT calculation (GGA-PBE) of a relaxed ZnCrRu4 crystal.

energy of formation from the pure elements: 0.494 eV per atom
DFT total energy: -45.04 eV/f.u.
magnetic moment: 0.78 μB per formula unit
DOS(E_F): 1.39 states/eV/atom

a = 7.1736 Å, b = 7.1736 Å, c = 7.1736 Å
α = 90.00°, β = 90.00°, γ = 90.00°
Space group F-43m (No. 216)
Asymmetric unit:
1 Zn 0.0000 0.0000 0.0000 [4 per cell]
2 Cr 0.2500 0.2500 0.7500 [4 per cell]
3 Ru 0.1251 0.1251 0.3749 [16 per cell]



# 3
The following is a DFT calculation (GGA-PBE) of a relaxed InBi3W crystal.

polymorph energy (0 for the lowest one): 0.0000 eV/atom
energy of formation from the pure elements: 0.698 eV per atom
DFT total energy: -23.85 eV/f.u.
magnetic moment: 0.00 μB per formula unit
DOS(E_F): 1.04 states/eV/atom

a = 5.4667 Å, b = 5.4667 Å, c = 5.4667 Å
α = 90.00°, β = 90.00°, γ = 90.00°
Space group Pm-3m (No. 221)
Asymmetric unit:
1 In 0.0000 0.0000 0.0000 [1 per cell]
2 Bi 0.0000 0.5000 0.5000 [3 per cell]
3 W 0.5000 0.5000 0.5000 [1 per cell]



# 4
The following is a DFT calculation (GGA-PBE) of a relaxed HfGa2Pt9 crystal.

energy of formation from the pure elements: -0.691 eV per atom
DFT total energy: -78.67 eV/f.u.
magnetic moment: 0.00 μB per formula unit
DOS(E_F): 0.77 states/eV/atom

a = 3.9836 Å, b = 3.9836 Å, c = 11.8775 Å
α = 90.00°, β = 90.00°, γ = 90.00°
Space group P4/mmm (No. 123)
Asymmetric unit:
1 Hf 0.0000 0.0000 0.0000 [1 per cell]
2 Ga 0.0000 0.0000 0.3389 [2 per cell]
3 Pt 0.0000 0.5000 0.1691 [4 per cell]
4 Pt 0.0000 0.5000 0.5000 [2 per cell]
5 Pt 0.5000 0.5000 0.0000 [1 per cell]
6 Pt 0.5000 0.5000 0.3350 [2 per cell]



# 5
The following is a DFT calculation (GGA-PBE) of a relaxed Te3S3Cl crystal.

raw formation energy: -0.0319 eV/atom
DFT total energy: -23.88 eV/f.u.
magnetic moment: 0.00 μB per formula unit
DOS(E_F): 0.09 states/eV/atom

a = 8.1359 Å, b = 8.1359 Å, c = 24.6835 Å
α = 90.00°, β = 90.00°, γ = 120.00°
Space group R-3 (No. 148, hexagonal axes)
Asymmetric unit:
1 Te 0.0023 0.2802 0.4400 [18 per cell]
2 S 0.0022 0.2618 0.6012 [18 per cell]
3 Cl 0.0000 0.0000 0.1665 [6 per cell]



# 6
The following is a DFT calculation (GGA-PBE) of a relaxed CaYSe crystal.

raw formation energy: -0.9525 eV/atom
polymorph energy (0 for the lowest one): 0.1735 eV/atom
DFT total energy: -14.81 eV/f.u.
magnetic moment: 0.77 μB per formula unit
DOS(E_F): 0.81 states/eV/atom

a = 10.2591 Å, b = 3.8578 Å, c = 10.5901 Å
α = 90.00°, β = 116.54°, γ = 90.00°
Space group C2/m (No. 12)
Asymmetric unit:
1 Ca 0.0859 0.0000 0.3834 [4 per cell]
2 Y 0.2031 0.5000 0.1425 [4 per cell]
3 Se 0.0751 0.5000 0.8436 [4 per cell]



# 7
The following is a DFT calculation (GGA-PBE) of a relaxed SnN3F crystal.

raw formation energy: 1.8319 eV/atom
DFT total energy: -21.69 eV/f.u.
magnetic moment: 6.00 μB per formula unit
DOS(E_F): 0.22 states/eV/atom

a = 4.2062 Å, b = 4.2062 Å, c = 4.2062 Å
α = 90.00°, β = 90.00°, γ = 90.00°
Space group Pm-3m (No. 221)
Asymmetric unit:
1 Sn 0.0000 0.0000 0.0000 [1 per cell]
2 N 0.0000 0.0000 0.5000 [3 per cell]
3 F 0.5000 0.5000 0.5000 [1 per cell]



# 8
The following is a DFT calculation (GGA-PBE) of a relaxed RbWSe3 crystal.

raw formation energy: 2.4735 eV/atom
polymorph energy (0 for the lowest one): 2.9415 eV/atom
DFT total energy: -12.01 eV/f.u.
magnetic moment: 0.00 μB per formula unit
DOS(E_F): 3.21 states/eV/atom

a = 5.4025 Å, b = 5.4025 Å, c = 5.4025 Å
α = 90.00°, β = 90.00°, γ = 90.00°
Space group Pm-3m (No. 221)
Asymmetric unit:
1 Rb 0.0000 0.0000 0.0000 [1 per cell]
2 W 0.5000 0.5000 0.5000 [1 per cell]
3 Se 0.0000 0.0000 0.5000 [3 per cell]



# 9
The following is a DFT calculation (GGA-PBE) of a relaxed K2ErU3O12 crystal.

raw formation energy: -2.8816 eV/atom
DFT total energy: -151.99 eV/f.u.
magnetic moment: 0.00 μB per formula unit
DOS(E_F): 0.89 states/eV/atom

a = 8.0991 Å, b = 8.0991 Å, c = 18.9192 Å
α = 90.00°, β = 90.00°, γ = 120.00°
Space group R-3m (No. 166, hexagonal axes)
Asymmetric unit:
1 K 0.0000 0.0000 0.1720 [6 per cell]
2 Er 0.0000 0.0000 0.5000 [3 per cell]
3 U 0.0000 0.5000 0.0000 [9 per cell]
4 O 0.0663 0.5331 0.1014 [18 per cell]
5 O 0.0908 0.5454 0.3549 [18 per cell]



# 10
The following is a DFT calculation (GGA-PBE) of a relaxed ZnGa4Ag6 crystal.

energy of formation from the pure elements: 0.096 eV per atom
DFT total energy: -29.43 eV/f.u.
magnetic moment: 0.00 μB per formula unit
DOS(E_F): 0.41 states/eV/atom

a = 5.3823 Å, b = 5.3823 Å, c = 14.3082 Å
α = 90.00°, β = 90.00°, γ = 90.00°
Space group I-42m (No. 121)
Asymmetric unit:
1 Zn 0.0000 0.0000 0.0000 [2 per cell]
2 Ga 0.2010 0.2010 0.8425 [8 per cell]
3 Ag 0.0000 0.5000 0.0000 [4 per cell]
4 Ag 0.1952 0.1952 0.6503 [8 per cell]



# 11
The following is a DFT calculation (GGA-PBE) of a relaxed LiGd2Pt crystal.

energy of formation from the pure elements: -0.597 eV per atom
DFT total energy: -38.50 eV/f.u.
magnetic moment: 14.35 μB per formula unit
DOS(E_F): 0.86 states/eV/atom

a = 4.9285 Å, b = 4.9285 Å, c = 3.7078 Å
α = 90.00°, β = 90.00°, γ = 90.00°
Space group P4/mmm (No. 123)
Asymmetric unit:
1 Li 0.0000 0.0000 0.0000 [1 per cell]
2 Gd 0.0000 0.5000 0.5000 [2 per cell]
3 Pt 0.5000 0.5000 0.0000 [1 per cell]



# 12
The following is a DFT calculation (GGA-PBE) of a relaxed AcBPd6 crystal.

energy of formation from the pure elements: -0.446 eV per atom
DFT total energy: -45.51 eV/f.u.
magnetic moment: 0.00 μB per formula unit
DOS(E_F): 0.44 states/eV/atom

a = 5.7852 Å, b = 5.7852 Å, c = 14.9932 Å
α = 90.00°, β = 90.00°, γ = 120.00°
Space group R-3m (No. 166, hexagonal axes)
Asymmetric unit:
1 Ac 0.0000 0.0000 0.0000 [3 per cell]
2 B 0.0000 0.0000 0.5000 [3 per cell]
3 Pd 0.0137 0.5069 0.9102 [18 per cell]